#one
This record from Alexandria via LeMat-Bulk describes crystalline RbLi2Mg2 at its relaxed geometry. The functional is GGA-PBE.

Values from the calculation:
The total magnetization is 0.00 μB per formula unit. As for the space group: P4/mbm.

a = 9.3484 Å, b = 9.3484 Å, c = 3.3388 Å
α = 90.00°, β = 90.00°, γ = 90.00°
Sites, in units of the cell vectors:
Mg1 0.1205 0.6205 0.5000
Mg2 0.6205 0.8795 0.5000
Mg3 0.8795 0.3795 0.5000
Mg4 0.3795 0.1205 0.5000
Rb1 0.0000 0.0000 0.0000
Rb2 0.5000 0.5000 0.0000
Li1 0.3343 0.8343 0.0000
Li2 0.8343 0.6657 0.0000
Li3 0.6657 0.1657 0.0000
Li4 0.1657 0.3343 0.0000

***

#two
This record from Alexandria via LeMat-Bulk describes crystalline RbLi2Mg2 at its relaxed geometry. The functional is GGA-PBE.

Values from the calculation:
The total magnetization is 0.00 μB per formula unit. As for the space group: I4/mmm.

a = 4.8722 Å, b = 4.8722 Å, c = 7.7434 Å
α = 71.66°, β = 71.66°, γ = 90.00°
Sites, in units of the cell vectors:
Mg1 0.7500 0.2500 0.5000
Mg2 0.2500 0.7500 0.5000
Rb1 0.0000 0.0000 0.0000
Li1 0.3809 0.3809 0.2382
Li2 0.6191 0.6191 0.7618

***

Of the structures shown above, #two is the least stable.